(P)
LaCrOs: optimized geometry, PBE-GGA.

a = 4.614 Å, b = 4.614 Å, c = 4.614 Å
α = 60.00°, β = 60.00°, γ = 60.00°
Element x y z (fractional)
1 Os 0.000 0.000 0.000
2 La 0.750 0.750 0.750
3 Cr 0.500 0.500 0.500

Results
The calculation puts the total magnetic moment at 4.40 Bohr magnetons per cell.

---

(Q)
LaCrOs: optimized geometry, PBE-GGA.

a = 4.254 Å, b = 4.254 Å, c = 7.013 Å
α = 90.00°, β = 90.00°, γ = 90.00°
Element x y z (fractional)
1 La 0.500 0.000 0.157
2 La 0.000 0.500 0.843
3 Cr 0.000 0.000 0.500
4 Cr 0.500 0.500 0.500
5 Os 0.000 0.500 0.334
6 Os 0.500 0.000 0.666

Results
The calculation puts the total magnetic moment at 0.00 Bohr magnetons per cell.

---

Q: Which of them is the most stable? A: (Q).

---

(P)
LaCr2Os2: optimized geometry, PBE-GGA.

a = 4.190 Å, b = 4.190 Å, c = 5.945 Å
α = 69.36°, β = 69.36°, γ = 90.00°
Element x y z (fractional)
1 Os 0.369 0.369 0.261
2 Os 0.631 0.631 0.739
3 Cr 0.250 0.750 0.500
4 Cr 0.750 0.250 0.500
5 La 0.000 0.000 0.000

Results
The calculation puts the total magnetic moment at 0.02 Bohr magnetons per cell.

---

(Q)
LaCr2Os2: optimized geometry, PBE-GGA.

a = 5.883 Å, b = 5.883 Å, c = 5.883 Å
α = 138.24°, β = 138.24°, γ = 60.54°
Element x y z (fractional)
1 Cr 0.373 0.373 0.000
2 Cr 0.627 0.627 0.000
3 La 0.000 0.000 0.000
4 Os 0.250 0.750 0.500
5 Os 0.750 0.250 0.500

Results
The calculation puts the total magnetic moment at 0.00 Bohr magnetons per cell.

---

Q: Which of them is the most stable? A: (P).